5
Lattice="5.051 0.000 0.000 0.000 4.674 0.000 0.000 0.000 5.051" Properties=species:S:1:pos:R:3 comment="NaReTe2Os (PBE, relaxed)" space_group="P4/mmm (123)" pbc="T T T"
Na 0.000 0.000 0.000
Re 2.526 2.337 2.526
Te 2.526 0.000 0.000
Te 0.000 0.000 2.526
Os 0.000 2.337 0.000

11
Lattice="3.434 0.000 0.000 0.000 8.653 0.023 0.000 -0.804 11.360" Properties=species:S:1:pos:R:3 comment="Sm4Tm5Mg2 (PBE, relaxed)" polymorph_energy_mev_per_atom=74 space_group="P2/m (10)" formation_enthalpy_0k_ev_per_atom=0.09 pbc="T T T"
Tm 0.000 4.741 3.322
Tm 0.000 6.211 9.459
Tm 0.000 4.327 0.011
Tm 0.000 1.639 1.923
Tm 0.000 3.108 8.060
Mg 0.000 7.905 4.213
Mg 0.000 -0.055 7.169
Sm 1.717 5.675 6.266
Sm 1.717 7.282 1.284
Sm 1.717 2.175 5.117
Sm 1.717 0.567 10.099

5
Lattice="4.769 0.000 0.000 0.000 4.769 0.000 2.385 2.385 4.587" Properties=species:S:1:pos:R:3 comment="CaZn2Au2 (PBE, relaxed)" polymorph_energy_mev_per_atom=53 space_group="I4/mmm (139)" formation_enthalpy_0k_ev_per_atom=-0.45 pbc="T T T"
Zn 2.385 2.385 1.225
Zn 4.769 4.769 3.362
Au 2.385 4.769 2.294
Au 4.769 2.385 2.294
Ca 0.000 0.000 0.000

18
Lattice="6.917 0.000 0.000 -3.458 5.990 0.000 0.000 0.000 12.947" Properties=species:S:1:pos:R:3 comment="TmMnAgBr6 (PBE, relaxed)" space_group="P-31c (163)" pbc="T T T"
Tm 0.000 3.993 3.237
Tm 3.458 1.997 9.710
Mn 3.458 1.997 3.237
Mn 0.000 3.993 9.710
Br -2.205 3.919 11.269
Br 1.253 2.071 4.795
Br 2.205 3.919 8.151
Br 4.497 0.050 4.795
Br 4.625 3.869 4.795
Br -1.167 2.121 8.151
Br 5.663 2.071 1.678
Br -1.038 5.940 8.151
Br 2.420 0.050 1.678
Br 1.167 2.121 11.269
Br 2.292 3.869 1.678
Br 1.038 5.940 11.269
Ag 0.000 0.000 0.000
Ag 0.000 0.000 6.473

18
Lattice="-5.715 -6.362 1.448 4.078 -4.985 -5.809 4.697 3.277 6.960" Properties=species:S:1:pos:R:3 comment="Th3CdHg5 (PBE, relaxed)" polymorph_energy_mev_per_atom=180 space_group="I4/mcm (140)" formation_enthalpy_0k_ev_per_atom=-0.04 pbc="T T T"
Hg -0.818 -5.674 -2.180
Hg 2.592 1.074 4.858
Hg 5.269 -0.709 1.792
Hg 0.190 -2.664 4.934
Hg 2.867 -4.446 1.868
Hg 0.469 -9.144 -2.259
Hg 0.194 -3.624 0.732
Hg 2.871 -5.406 -2.335
Hg 0.000 0.000 0.000
Hg -2.208 -7.361 0.807
Th 0.848 -2.660 -2.022
Th -3.056 -4.561 0.194
Th 1.939 -1.198 2.390
Th 1.420 -6.787 -4.555
Th -2.485 -8.687 -2.339
Th 1.121 -6.872 0.209
Cd 3.978 -3.691 -0.515
Cd -0.918 -4.379 3.114

4
Lattice="4.560 0.000 0.000 0.000 2.767 0.010 0.000 0.939 5.139" Properties=species:S:1:pos:R:3 comment="TaIrW2 (PBE, relaxed)" polymorph_energy_mev_per_atom=67 space_group="P2/m (10)" formation_enthalpy_0k_ev_per_atom=-0.03 pbc="T T T"
Ir 2.280 0.927 1.287
W 0.000 1.889 2.587
W 0.000 3.670 5.136
Ta 2.280 2.780 3.861

3
Lattice="-4.976 1.501 -0.645 -2.742 -1.722 -4.116 -3.885 -3.443 0.697" Properties=species:S:1:pos:R:3 comment="KTeAs (PBE, relaxed)" polymorph_energy_mev_per_atom=821 space_group="F-43m (216)" pbc="T T T"
K -8.703 -2.748 -3.048
Te 0.000 0.000 0.000
As -5.802 -1.832 -2.032

4
Lattice="1.802 0.000 12.054 -0.901 1.561 12.054 -0.901 -1.561 12.054" Properties=species:S:1:pos:R:3 comment="SbWCl2 (PBE, relaxed)" polymorph_energy_mev_per_atom=175 space_group="R-3m (166)" pbc="T T T"
W 0.000 0.000 18.081
Sb 0.000 0.000 0.000
Cl 0.000 0.000 31.879
Cl 0.000 0.000 4.283

Electronic total energy per entry: -3.781 -3.952 -2.673 -4.083 -2.787 -11.689 -2.625 -5.147 eV/atom